(1)
Material: LiHo4Ir2
Method: DFT, PBE
State: optimized geometry

The formation enthalpy at 0 K comes out at -0.574 eV per atom. The total energy is -41.964 eV per formula unit. The total magnetization comes out at 0.00 μB per cell. Its density of states at the Fermi level is 4.27 states/eV/f.u. The value obtained for the polymorph energy (0 for the lowest one) is 7.7 kJ/mol of atoms.

The space group is C2 (No. 5) and the conventional cell measures 10.406, 8.852 and 8.947 Å, with angles of 90.00, 125.55 and 90.00 degrees. The asymmetric unit holds Li at (0.000, 0.000, 0.000), Li at (0.000, 0.245, 0.500), Ho at (0.058, 0.879, 0.346), Ho at (0.095, 0.307, 0.239), Ho at (0.143, 0.556, 0.738), Ho at (0.212, 0.629, 0.152), Ir at (0.195, 0.588, 0.460) and Ir at (0.234, 0.338, 0.039).


(2)
Material: Pu2Zr2Se7
Method: DFT, PBE
State: optimized geometry

The total energy is -84.502 eV per formula unit. The total magnetization comes out at 19.46 μB per cell. Its density of states at the Fermi level is 20.00 states/eV/f.u. The calculation puts the uncorrected formation energy at -1.305 eV/atom.

The space group is Imm2 (No. 44) and the conventional cell measures 3.939, 14.507 and 8.840 Å, with angles of 90.00, 90.00 and 90.00 degrees. The asymmetric unit holds Pu at (0.000, 0.230, 0.000), Zr at (0.000, 0.000, 0.238), Zr at (0.000, 0.500, 0.180), Se at (0.000, 0.000, 0.914), Se at (0.000, 0.104, 0.508), Se at (0.000, 0.323, 0.287) and Se at (0.000, 0.369, 0.698).


(3)
Material: Cs3Na2PrF9
Method: DFT, PBE
State: optimized geometry

The total energy is -70.327 eV per formula unit. The total magnetization comes out at 1.32 μB per cell. Its density of states at the Fermi level is 23.72 states/eV/f.u. The calculation puts the uncorrected formation energy at -2.900 eV/atom.

The space group is P-3m1 (No. 164) and the conventional cell measures 6.5400, 6.5400 and 8.1838 Å, with angles of 90.00, 90.00 and 120.00 degrees. The asymmetric unit holds Cs at (0.0000, 0.0000, 0.0000), Cs at (0.3333, 0.6667, 0.6948), Na at (0.3333, 0.6667, 0.1766), Pr at (0.0000, 0.0000, 0.5000), F at (0.0000, 0.5000, 0.0000) and F at (0.1640, 0.3279, 0.3332).


(4)
Material: KCdOs2
Method: DFT, PBE
State: optimized geometry

The formation enthalpy at 0 K comes out at 0.915 eV per atom. The total energy is -20.812 eV per formula unit. The total magnetization comes out at 0.01 μB per cell. Its density of states at the Fermi level is 3.92 states/eV/f.u.

The space group is Cmm2 (No. 35) and the conventional cell measures 2.939, 4.793 and 10.742 Å, with angles of 90.00, 90.00 and 90.00 degrees. The asymmetric unit holds K at (0.000, 0.000, 0.000), Cd at (0.000, 0.500, 0.703), Os at (0.000, 0.000, 0.463) and Os at (0.000, 0.500, 0.267).


(5)
Material: HfTeClO4
Method: DFT, PBE
State: optimized geometry

The total energy is -46.880 eV per formula unit. The total magnetization comes out at 0.00 μB per cell. Its density of states at the Fermi level is 2.25 states/eV/f.u. The calculation puts the uncorrected formation energy at -1.729 eV/atom.

The space group is C2/m (No. 12) and the conventional cell measures 10.079, 6.736 and 6.468 Å, with angles of 90.00, 101.19 and 90.00 degrees. The asymmetric unit holds Hf at (0.225, 0.000, 0.115), Te at (0.128, 0.500, 0.319), Cl at (0.027, 0.000, 0.778), O at (0.072, 0.500, 0.752), O at (0.191, 0.312, 0.133) and O at (0.221, 0.000, 0.437).


(6)
Material: TeOsPtN2
Method: DFT, PBE
State: optimized geometry

The total energy is -33.705 eV per formula unit. The total magnetization comes out at 0.16 μB per cell. Its density of states at the Fermi level is 2.87 states/eV/f.u. The value obtained for the polymorph energy (0 for the lowest one) is 0.0 kJ/mol of atoms. The calculation puts the uncorrected formation energy at 0.672 eV/atom.

The space group is P4/mmm (No. 123) and the conventional cell measures 3.783, 3.783 and 6.011 Å, with angles of 90.00, 90.00 and 90.00 degrees. The asymmetric unit holds Te at (0.000, 0.000, 0.000), Os at (0.000, 0.000, 0.500), Pt at (0.500, 0.500, 0.000) and N at (0.000, 0.500, 0.500).


What is the total magnetization in the third record? 1.32 μB per cell


Which value of total magnetization does entry 2 give? 19.46 μB per cell


The highest total magnetization belongs to which entry? Pu2Zr2Se7


Which formula does entry 2 have? Pu2Zr2Se7